CrCo2Br | SCAN | single point on PBEsol structure

abc: 3.719 3.719 7.251
angles: 90.00 90.00 90.00
Space group I4/mmm (No. 139)
Symmetry-distinct sites (fractional):
Cr 0.000 0.000 0.000 x2
Co 0.000 0.500 0.250 x4
Br 0.000 0.000 0.500 x2

Calculated values
Relative energy among the computed polymorphs   11.5 kJ per mole of atoms


CrCo2Br | SCAN | single point on PBEsol structure

abc: 4.099 4.099 3.024
angles: 90.00 90.00 90.00
Space group P4/mmm (No. 123)
Symmetry-distinct sites (fractional):
Cr 0.000 0.000 0.000 x1
Co 0.000 0.500 0.500 x2
Br 0.500 0.500 0.000 x1

Calculated values
Relative energy among the computed polymorphs   0.0 kJ per mole of atoms


CrCoPt2Br | SCAN | single point on PBEsol structure

abc: 4.504 4.504 4.621
angles: 90.00 90.00 90.00
Space group P4/mmm (No. 123)
Symmetry-distinct sites (fractional):
Cr 0.000 0.000 0.000 x1
Co 0.000 0.000 0.500 x1
Pt 0.000 0.500 0.500 x2
Br 0.500 0.500 0.000 x1


Number 1: uncorrected formation energy 369.2 kJ/mol of formula units. Number 2: uncorrected formation energy 323.1 kJ/mol of formula units. Number 3: uncorrected formation energy 447.3 kJ/mol of formula units.